Entry 1:
{
  "formula": "ZnIn3Cl5",
  "functional": "PBE-GGA",
  "state": "optimized geometry",
  "lattice": [[-4.1654, 4.1654, 7.4980], [4.1654, -4.1654, 7.4980], [4.1654, 4.1654, -7.4980]],
  "species": ["Zn", "Zn", "In", "In", "In", "In", "In", "In", "Cl", "Cl", "Cl", "Cl", "Cl", "Cl", "Cl", "Cl", "Cl", "Cl"],
  "frac_coords": [[0.2500, 0.7500, 0.5000], [0.7500, 0.2500, 0.5000], [0.1612, 0.6612, 0.8224], [0.2500, 0.2500, 0.0000], [0.3388, 0.1612, 0.5000], [0.6612, 0.8388, 0.5000], [0.7500, 0.7500, 0.0000], [0.8388, 0.3388, 0.1776], [0.0000, 0.0000, 0.0000], [0.0025, 0.8095, 0.5000], [0.1905, 0.6905, 0.1930], [0.3095, 0.5025, 0.5000], [0.4975, 0.9975, 0.8070], [0.5000, 0.5000, 0.0000], [0.5025, 0.0025, 0.1930], [0.6905, 0.4975, 0.5000], [0.8095, 0.3095, 0.8070], [0.9975, 0.1905, 0.5000]],
  "sg": "I4/mcm, No. 140"
}



Entry 2:
{
  "formula": "Zn2InCl6",
  "functional": "PBE-GGA",
  "state": "optimized geometry",
  "lattice": [[6.4642, -6.0082, 0.0000], [6.4642, 6.0082, 0.0000], [-1.7601, 0.0000, 6.7071]],
  "species": ["Zn", "Zn", "Zn", "Zn", "In", "In", "Cl", "Cl", "Cl", "Cl", "Cl", "Cl", "Cl", "Cl", "Cl", "Cl", "Cl", "Cl"],
  "frac_coords": [[0.1227, 0.2752, 0.2811], [0.2752, 0.1227, 0.7811], [0.7248, 0.8773, 0.2189], [0.8773, 0.7248, 0.7189], [0.3714, 0.6286, 0.7500], [0.6286, 0.3714, 0.2500], [0.0678, 0.2073, 0.5658], [0.1029, 0.6254, 0.8762], [0.2073, 0.0678, 0.0659], [0.3168, 0.4521, 0.3667], [0.3746, 0.8971, 0.6238], [0.4521, 0.3168, 0.8667], [0.5479, 0.6832, 0.1333], [0.6254, 0.1029, 0.3762], [0.6832, 0.5479, 0.6333], [0.7927, 0.9322, 0.9342], [0.8971, 0.3746, 0.1238], [0.9322, 0.7927, 0.4342]],
  "sg": "C2/c, No. 15"
}



Entry 3:
{
  "formula": "Zn2In2Cl",
  "functional": "PBE-GGA",
  "state": "optimized geometry",
  "lattice": [[3.9352, 0.0000, 0.0000], [0.0000, 3.9352, 0.0000], [0.0000, 0.0000, 15.5335]],
  "species": ["Zn", "Zn", "Zn", "Zn", "In", "In", "In", "In", "Cl", "Cl"],
  "frac_coords": [[0.0000, 0.5000, 0.2500], [0.0000, 0.5000, 0.7500], [0.5000, 0.0000, 0.2500], [0.5000, 0.0000, 0.7500], [0.0000, 0.0000, 0.1046], [0.0000, 0.0000, 0.8954], [0.5000, 0.5000, 0.3954], [0.5000, 0.5000, 0.6046], [0.0000, 0.0000, 0.5000], [0.5000, 0.5000, 0.0000]],
  "sg": "I4/mmm, No. 139",
  "relative_energy_mev_per_atom": 38
}



Entry 4:
{
  "formula": "Zn3InCl",
  "functional": "PBE-GGA",
  "state": "optimized geometry",
  "lattice": [[5.1138, 0.0000, 0.0000], [0.0000, 5.1138, 0.0000], [0.0000, 0.0000, 5.1138]],
  "species": ["Zn", "Zn", "Zn", "In", "Cl"],
  "frac_coords": [[0.0000, 0.0000, 0.5000], [0.0000, 0.5000, 0.0000], [0.5000, 0.0000, 0.0000], [0.5000, 0.5000, 0.5000], [0.0000, 0.0000, 0.0000]],
  "sg": "Pm-3m, No. 221",
  "relative_energy_mev_per_atom": 313
}



Entry 5:
{
  "formula": "ZnIn3Cl6",
  "functional": "PBE-GGA",
  "state": "optimized geometry",
  "lattice": [[6.2639, -3.6457, 0.0000], [6.2639, 3.6457, 0.0000], [-4.2268, 0.0000, 6.0119]],
  "species": ["Zn", "In", "In", "In", "Cl", "Cl", "Cl", "Cl", "Cl", "Cl"],
  "frac_coords": [[0.0000, 0.0000, 0.0000], [0.2540, 0.2540, 0.7731], [0.5000, 0.5000, 0.5000], [0.7460, 0.7460, 0.2269], [0.2049, 0.7236, 0.2029], [0.2383, 0.2383, 0.3019], [0.2764, 0.7951, 0.7971], [0.7236, 0.2049, 0.2029], [0.7617, 0.7617, 0.6981], [0.7951, 0.2764, 0.7971]],
  "sg": "C2/m, No. 12",
  "relative_energy_mev_per_atom": 23
}



Entry 6:
{
  "formula": "ZnIn3Cl6",
  "functional": "PBE-GGA",
  "state": "optimized geometry",
  "lattice": [[6.0972, -7.4333, 0.0000], [6.0972, 7.4333, 0.0000], [0.0000, 0.0000, 7.0404]],
  "species": ["Zn", "Zn", "In", "In", "In", "In", "In", "In", "Cl", "Cl", "Cl", "Cl", "Cl", "Cl", "Cl", "Cl", "Cl", "Cl", "Cl", "Cl"],
  "frac_coords": [[0.2044, 0.7956, 0.5000], [0.7956, 0.2044, 0.0000], [0.0716, 0.2851, 0.4372], [0.2851, 0.0716, 0.9372], [0.4181, 0.5819, 0.8483], [0.5819, 0.4181, 0.3483], [0.7149, 0.9284, 0.4372], [0.9284, 0.7149, 0.9372], [0.0579, 0.9421, 0.6013], [0.1292, 0.5815, 0.6598], [0.2201, 0.7799, 0.1820], [0.3362, 0.3945, 0.1395], [0.3945, 0.3362, 0.6395], [0.4185, 0.8708, 0.6598], [0.5815, 0.1292, 0.1598], [0.6055, 0.6638, 0.1395], [0.6638, 0.6055, 0.6395], [0.7799, 0.2201, 0.6820], [0.8708, 0.4185, 0.1598], [0.9421, 0.0579, 0.1013]],
  "sg": "Cmc2_1, No. 36",
  "relative_energy_mev_per_atom": 0
}



Entry 7:
{
  "formula": "ZnInCl5",
  "functional": "PBE-GGA",
  "state": "optimized geometry",
  "lattice": [[4.8668, -4.8888, 0.0000], [4.8668, 4.8888, 0.0000], [-4.6791, 0.0000, 8.4155]],
  "species": ["Zn", "Zn", "In", "In", "Cl", "Cl", "Cl", "Cl", "Cl", "Cl", "Cl", "Cl", "Cl", "Cl"],
  "frac_coords": [[0.1180, 0.8820, 0.7500], [0.8820, 0.1180, 0.2500], [0.0000, 0.5000, 0.0000], [0.5000, 0.0000, 0.5000], [0.1722, 0.6021, 0.8370], [0.1777, 0.1924, 0.4681], [0.1924, 0.1777, 0.9681], [0.3322, 0.6678, 0.2500], [0.3979, 0.8278, 0.6630], [0.6021, 0.1722, 0.3370], [0.6678, 0.3322, 0.7500], [0.8076, 0.8223, 0.0319], [0.8223, 0.8076, 0.5319], [0.8278, 0.3979, 0.1630]],
  "sg": "C2/c, No. 15"
}



Entry 8:
{
  "formula": "ZrInCl",
  "functional": "PBE-GGA",
  "state": "optimized geometry",
  "lattice": [[5.7400, 0.0000, 0.0000], [0.0000, 3.3727, 0.0000], [-0.5217, 0.0000, 14.9974]],
  "species": ["Zr", "Zr", "Zr", "Zr", "In", "In", "In", "In", "Cl", "Cl", "Cl", "Cl"],
  "frac_coords": [[0.0000, 0.0000, 0.0000], [0.2173, 0.5000, 0.4839], [0.5000, 0.5000, 0.0000], [0.7173, 0.0000, 0.4839], [0.3263, 0.0000, 0.8378], [0.3865, 0.0000, 0.6467], [0.8263, 0.5000, 0.8378], [0.8865, 0.5000, 0.6467], [0.1759, 0.5000, 0.1180], [0.3722, 0.0000, 0.3655], [0.6759, 0.0000, 0.1180], [0.8722, 0.5000, 0.3655]],
  "sg": "Cm, No. 8",
  "relative_energy_mev_per_atom": 0
}



Entry 9:
{
  "formula": "Zr3In2Cl9",
  "functional": "PBE-GGA",
  "state": "optimized geometry",
  "lattice": [[5.2533, -8.7234, 0.0000], [5.2533, 8.7234, 0.0000], [-4.1105, 0.0000, 9.0329]],
  "species": ["Zr", "Zr", "Zr", "Zr", "Zr", "Zr", "In", "In", "In", "In", "Cl", "Cl", "Cl", "Cl", "Cl", "Cl", "Cl", "Cl", "Cl", "Cl", "Cl", "Cl", "Cl", "Cl", "Cl", "Cl", "Cl", "Cl"],
  "frac_coords": [[0.0472, 0.2361, 0.6526], [0.1349, 0.1349, 0.3617], [0.2361, 0.0472, 0.6526], [0.7639, 0.9528, 0.3474], [0.8650, 0.8650, 0.6383], [0.9528, 0.7639, 0.3474], [0.2290, 0.5508, 0.1688], [0.4492, 0.7710, 0.8312], [0.5508, 0.2290, 0.1688], [0.7710, 0.4492, 0.8312], [0.0928, 0.8856, 0.1818], [0.1067, 0.5060, 0.8344], [0.1144, 0.9072, 0.8182], [0.1996, 0.4083, 0.5189], [0.2081, 0.7919, 0.5000], [0.2851, 0.2851, 0.2097], [0.3154, 0.3154, 0.8343], [0.4083, 0.1996, 0.5189], [0.4940, 0.8933, 0.1656], [0.5060, 0.1067, 0.8344], [0.5917, 0.8004, 0.4811], [0.6846, 0.6846, 0.1657], [0.7149, 0.7149, 0.7903], [0.7919, 0.2081, 0.5000], [0.8004, 0.5917, 0.4811], [0.8856, 0.0928, 0.1818], [0.8933, 0.4940, 0.1656], [0.9072, 0.1144, 0.8182]],
  "sg": "C2/m, No. 12"
}



Entry 10:
{
  "formula": "ZrIn2Cl",
  "functional": "PBE-GGA",
  "state": "optimized geometry",
  "lattice": [[9.7185, 0.0000, 0.0000], [0.0000, 9.7185, 0.0000], [0.0000, 0.0000, 5.0342]],
  "species": ["Zr", "Zr", "Zr", "Zr", "In", "In", "In", "In", "In", "In", "In", "In", "Cl", "Cl", "Cl", "Cl"],
  "frac_coords": [[0.0000, 0.0000, 0.0000], [0.0000, 0.5000, 0.2500], [0.5000, 0.0000, 0.7500], [0.5000, 0.5000, 0.5000], [0.1700, 0.2500, 0.1250], [0.2500, 0.6700, 0.3750], [0.2500, 0.8300, 0.8750], [0.3300, 0.2500, 0.6250], [0.6700, 0.7500, 0.6250], [0.7500, 0.1700, 0.8750], [0.7500, 0.3300, 0.3750], [0.8300, 0.7500, 0.1250], [0.0000, 0.0000, 0.5000], [0.0000, 0.5000, 0.7500], [0.5000, 0.0000, 0.2500], [0.5000, 0.5000, 0.0000]],
  "sg": "I-42d, No. 122",
  "relative_energy_mev_per_atom": 580
}



Entry 11:
{
  "formula": "ZrInCl",
  "functional": "PBE-GGA",
  "state": "optimized geometry",
  "lattice": [[5.7193, 0.0000, 0.0000], [0.0000, 3.3009, 0.0000], [-0.2719, 0.0000, 8.3404]],
  "species": ["Zr", "Zr", "In", "In", "Cl", "Cl"],
  "frac_coords": [[0.0000, 0.0000, 0.0000], [0.5000, 0.5000, 0.0000], [0.3193, 0.0000, 0.7046], [0.8193, 0.5000, 0.7046], [0.3434, 0.0000, 0.2137], [0.8434, 0.5000, 0.2137]],
  "sg": "Cm, No. 8",
  "relative_energy_mev_per_atom": 103
}



Entry 12:
{
  "formula": "ZrIn2Cl",
  "functional": "PBE-GGA",
  "state": "optimized geometry",
  "lattice": [[7.3669, 0.0000, 0.0000], [0.0000, 7.3669, 0.0000], [0.0000, 0.0000, 7.3669]],
  "species": ["Zr", "Zr", "Zr", "Zr", "In", "In", "In", "In", "In", "In", "In", "In", "Cl", "Cl", "Cl", "Cl"],
  "frac_coords": [[0.0000, 0.0000, 0.0000], [0.0000, 0.5000, 0.5000], [0.5000, 0.0000, 0.5000], [0.5000, 0.5000, 0.0000], [0.2500, 0.2500, 0.2500], [0.2500, 0.2500, 0.7500], [0.2500, 0.7500, 0.2500], [0.2500, 0.7500, 0.7500], [0.7500, 0.2500, 0.2500], [0.7500, 0.2500, 0.7500], [0.7500, 0.7500, 0.2500], [0.7500, 0.7500, 0.7500], [0.0000, 0.0000, 0.5000], [0.0000, 0.5000, 0.0000], [0.5000, 0.0000, 0.0000], [0.5000, 0.5000, 0.5000]],
  "sg": "Fm-3m, No. 225",
  "relative_energy_mev_per_atom": 785
}



Formation energy without anion corrections for every record listed, in sequence, given in eV per atom: -0.92 -1.02 -0.10 0.44 -0.89 -0.91 -1.06 -0.88 -1.41 -0.03 -0.77 0.18.
Magnetization for every record listed, in sequence, given in μB/f.u.: 0.00 0.00 0.00 0.00 0.00 0.00 0.00 0.00 2.00 0.00 0.00 0.00.